The following is a PBE calculation of a relaxed La2InTc crystal, from the Alexandria database.

a = 7.274 Å, b = 7.274 Å, c = 7.274 Å
α = 90.00°, β = 90.00°, γ = 90.00°
Space group F-43m (No. 216)
Inequivalent atoms, fractional coordinates:
La  0.000  0.000  0.000 [4 per cell]
La  0.250  0.250  0.250 [4 per cell]
In  0.000  0.000  0.500 [4 per cell]
Tc  0.250  0.250  0.750 [4 per cell]

Values from the calculation:
- V: 24.1 Å³ per atom
- Raw total energy: -5.6840 eV/atom
- Mass density: 8.466 g/cm³
- Magnetic moment: 2.2 μB/cell
- ΔH_f (0 K): 0.06 eV per atom
- Fermi-level density of states: 1.66 states/eV per atom

=====

The following is a PBE calculation of a relaxed K2LiTl5Ag2 crystal, from the Alexandria database.

a = 11.970 Å, b = 11.970 Å, c = 3.951 Å
α = 90.00°, β = 90.00°, γ = 90.00°
Space group P4/mbm (No. 127)
Inequivalent atoms, fractional coordinates:
K  0.176  0.324  0.000 [4 per cell]
Li  0.000  0.000  0.000 [2 per cell]
Tl  0.000  0.500  0.500 [2 per cell]
Tl  0.058  0.811  0.500 [8 per cell]
Ag  0.130  0.630  0.000 [4 per cell]

Values from the calculation:
- V: 28.3 Å³ per atom
- Raw total energy: -2.1956 eV/atom
- Mass density: 7.760 g/cm³
- Magnetic moment: 0.0 μB/cell
- ΔH_f (0 K): -0.03 eV per atom
- Fermi-level density of states: 0.52 states/eV per atom

=====

The following is a PBE calculation of a relaxed NaZn8Au2 crystal, from the Alexandria database.

a = 5.105 Å, b = 5.105 Å, c = 9.437 Å
α = 90.00°, β = 90.00°, γ = 90.00°
Space group P4/mmm (No. 123)
Inequivalent atoms, fractional coordinates:
Na  0.000  0.000  0.000 [1 per cell]
Zn  0.251  0.251  0.282 [8 per cell]
Au  0.000  0.500  0.500 [2 per cell]

Values from the calculation:
- V: 22.4 Å³ per atom
- Raw total energy: -1.5335 eV/atom
- Mass density: 6.348 g/cm³
- Magnetic moment: 0.0 μB/cell
- ΔH_f (0 K): 0.11 eV per atom
- Fermi-level density of states: 0.29 states/eV per atom

=====

Q: Which of these has the lowest mass density?
A: NaZn8Au2

=====

What did the third record say?
The following is a PBE calculation of a relaxed NaZn8Au2 crystal, from the Alexandria database.

a = 5.105 Å, b = 5.105 Å, c = 9.437 Å
α = 90.00°, β = 90.00°, γ = 90.00°
Space group P4/mmm (No. 123)
Inequivalent atoms, fractional coordinates:
Na  0.000  0.000  0.000 [1 per cell]
Zn  0.251  0.251  0.282 [8 per cell]
Au  0.000  0.500  0.500 [2 per cell]

Values from the calculation:
- V: 22.4 Å³ per atom
- Raw total energy: -1.5335 eV/atom
- Mass density: 6.348 g/cm³
- Magnetic moment: 0.0 μB/cell
- ΔH_f (0 K): 0.11 eV per atom
- Fermi-level density of states: 0.29 states/eV per atom

=====

Q: Among the records above, which one has the highest magnetic moment?
A: La2InTc

=====

Q: Which formula does entry 2 have?
A: K2LiTl5Ag2